1.
GGA-PBE CeNdCo, optimized geometry; VASP energy = -0.445 Ry per atom; energy above the lowest structure with this stoichiometry = 0 kJ/mol of formula units
1.0
4.6864 0.0000 0.0000
0.0000 5.1756 0.0000
0.0000 0.0000 6.1845
Ce Nd Co
2 2 2
direct
0.2500 0.2500 0.0446
0.7500 0.7500 0.9554
0.2500 0.7500 0.3962
0.7500 0.2500 0.6038
0.2500 0.7500 0.8602
0.7500 0.2500 0.1398

2.
GGA-PBE Ac2ScTe2S2, optimized geometry; VASP energy = -0.437 Ry per atom; energy relative to the elements, uncorrected = -1.7907 eV/atom
1.0
-2.4525 2.4525 8.4279
2.4525 -2.4525 8.4279
2.4525 2.4525 -8.4279
Ac Sc Te S
2 1 2 2
direct
0.1228 0.1228 0.0000
0.8772 0.8772 0.0000
0.5000 0.5000 0.0000
0.3226 0.3226 0.0000
0.6774 0.6774 0.0000
0.0000 0.5000 0.5000
0.5000 0.0000 0.5000